Entry 1:
# Pa4TeAsSe2, relaxed, DFT PBE
data_Pa4TeAsSe2
_chemical_formula_sum 'Pa16 Te4 As4 Se8'
_cell_length_a 8.304
_cell_length_b 8.325
_cell_length_c 11.734
_cell_angle_alpha 90.00
_cell_angle_beta 90.00
_cell_angle_gamma 90.00
_symmetry_space_group_name_H-M 'F 2 2 2'
_symmetry_Int_Tables_number 22
_symmetry_space_group_name_Hall 'F 2 2'
loop_
_atom_site_label
_atom_site_fract_x
_atom_site_fract_y
_atom_site_fract_z
Pa1 0.000 0.000 0.241
Pa2 0.250 0.250 0.501
Te1 0.000 0.000 0.500
As1 0.250 0.250 0.750
Se1 0.000 0.000 0.000
Se2 0.250 0.250 0.250
# * crystal system: orthorhombic
# * total magnetic moment: 11.23 μB/cell
# * N(E_F): 68.9 states/eV/cell
# * formation energy (no corrections): -971.4 meV/atom

Entry 2:
# YPtS3, relaxed, DFT PBE
data_YPtS3
_chemical_formula_sum 'Y1 Pt1 S3'
_cell_length_a 4.705
_cell_length_b 4.705
_cell_length_c 4.705
_cell_angle_alpha 90.00
_cell_angle_beta 90.00
_cell_angle_gamma 90.00
_symmetry_space_group_name_H-M 'P m -3 m'
_symmetry_Int_Tables_number 221
_symmetry_space_group_name_Hall '-P 4 2 3'
loop_
_atom_site_label
_atom_site_fract_x
_atom_site_fract_y
_atom_site_fract_z
Y1 0.000 0.000 0.000
Pt1 0.500 0.500 0.500
S1 0.000 0.500 0.500
# * crystal system: cubic
# * relative energy among the computed polymorphs: 0 meV/atom
# * total magnetic moment: 0.00 μB/cell
# * N(E_F): 1.4 states/eV/cell
# * formation energy (no corrections): -559.7 meV/atom

Entry 3:
# FeTcSe2, relaxed, DFT PBE
data_FeTcSe2
_chemical_formula_sum 'Fe3 Tc3 Se6'
_cell_length_a 3.1687
_cell_length_b 3.1687
_cell_length_c 24.4744
_cell_angle_alpha 90.00
_cell_angle_beta 90.00
_cell_angle_gamma 120.00
_symmetry_space_group_name_H-M 'R -3 m'
_symmetry_Int_Tables_number 166
_symmetry_space_group_name_Hall '-R 3 2"'
loop_
_atom_site_label
_atom_site_fract_x
_atom_site_fract_y
_atom_site_fract_z
Fe1 0.0000 0.0000 0.0000
Tc1 0.0000 0.0000 0.5000
Se1 0.0000 0.0000 0.0946
# * crystal system: trigonal
# * relative energy among the computed polymorphs: 438 meV/atom
# * total magnetic moment: 7.77 μB/cell
# * N(E_F): 15.7 states/eV/cell
# * formation energy (no corrections): 203.6 meV/atom

Entry 4:
# Re2SbIr, relaxed, DFT PBE
data_Re2SbIr
_chemical_formula_sum 'Re4 Sb2 Ir2'
_cell_length_a 3.082
_cell_length_b 4.586
_cell_length_c 9.159
_cell_angle_alpha 90.00
_cell_angle_beta 90.00
_cell_angle_gamma 90.00
_symmetry_space_group_name_H-M 'I m m 2'
_symmetry_Int_Tables_number 44
loop_
_symmetry_equiv_pos_as_xyz
'x,y,z'
'-x,-y,z'
'-x,y,z'
'x,-y,z'
'x+1/2,y+1/2,z+1/2'
'-x+1/2,-y+1/2,z+1/2'
'-x+1/2,y+1/2,z+1/2'
'x+1/2,-y+1/2,z+1/2'
loop_
_atom_site_label
_atom_site_fract_x
_atom_site_fract_y
_atom_site_fract_z
Re1 0.000 0.000 0.000
Re2 0.000 0.500 0.248
Sb1 0.000 0.500 0.738
Ir1 0.000 0.000 0.468
# * crystal system: orthorhombic
# * total magnetic moment: 0.00 μB/cell
# * N(E_F): 4.8 states/eV/cell
# * formation energy (no corrections): 490.1 meV/atom

Entry 5:
# CrSe3, relaxed, DFT PBE
data_CrSe3
_chemical_formula_sum 'Cr2 Se6'
_cell_length_a 3.635
_cell_length_b 4.398
_cell_length_c 11.880
_cell_angle_alpha 90.00
_cell_angle_beta 90.00
_cell_angle_gamma 90.00
_symmetry_space_group_name_H-M 'I m m m'
_symmetry_Int_Tables_number 71
_symmetry_space_group_name_Hall '-I 2 2'
loop_
_atom_site_label
_atom_site_fract_x
_atom_site_fract_y
_atom_site_fract_z
Cr1 0.000 0.000 0.000
Se1 0.000 0.000 0.500
Se2 0.000 0.500 0.353
# * crystal system: orthorhombic
# * total magnetic moment: 6.42 μB/cell
# * N(E_F): 3.3 states/eV/cell
# * formation energy (no corrections): -37.3 meV/atom

Entry 6:
# RbLi2AsC, relaxed, DFT PBE
data_RbLi2AsC
_chemical_formula_sum 'Rb1 Li2 As1 C1'
_cell_length_a 4.613
_cell_length_b 4.613
_cell_length_c 4.535
_cell_angle_alpha 90.00
_cell_angle_beta 90.00
_cell_angle_gamma 90.00
_symmetry_space_group_name_H-M 'P 4/m m m'
_symmetry_Int_Tables_number 123
_symmetry_space_group_name_Hall '-P 4 2'
loop_
_atom_site_label
_atom_site_fract_x
_atom_site_fract_y
_atom_site_fract_z
Rb1 0.000 0.000 0.000
Li1 0.000 0.500 0.500
As1 0.500 0.500 0.000
C1 0.500 0.500 0.500
# * ΔH_f (0 K): 0.4982 eV/atom
# * crystal system: tetragonal
# * total magnetic moment: 0.00 μB/cell
# * N(E_F): 3.1 states/eV/cell

Entry 7:
# Ag6SICl2, relaxed, DFT PBE
data_Ag6SICl2
_chemical_formula_sum 'Ag12 S2 I2 Cl4'
_cell_length_a 12.269
_cell_length_b 6.036
_cell_length_c 7.104
_cell_angle_alpha 90.00
_cell_angle_beta 113.99
_cell_angle_gamma 90.00
_symmetry_space_group_name_H-M 'C 1 2/m 1'
_symmetry_Int_Tables_number 12
loop_
_symmetry_equiv_pos_as_xyz
'x,y,z'
'-x,-y,-z'
'-x,y,-z'
'x,-y,z'
'x+1/2,y+1/2,z'
'-x+1/2,-y+1/2,-z'
'-x+1/2,y+1/2,-z'
'x+1/2,-y+1/2,z'
loop_
_atom_site_label
_atom_site_fract_x
_atom_site_fract_y
_atom_site_fract_z
Ag1 0.124 0.248 0.376
Ag2 0.221 0.500 0.777
S1 0.000 0.500 0.500
I1 0.000 0.000 0.000
Cl1 0.238 0.500 0.158
# * crystal system: monoclinic
# * total magnetic moment: 0.00 μB/cell
# * N(E_F): 3.8 states/eV/cell
# * formation energy (no corrections): -111.0 meV/atom

Entry 8:
# CaAcOs2O8, relaxed, DFT PBE
data_CaAcOs2O8
_chemical_formula_sum 'Ca1 Ac1 Os2 O8'
_cell_length_a 6.0267
_cell_length_b 6.0267
_cell_length_c 7.1480
_cell_angle_alpha 90.00
_cell_angle_beta 90.00
_cell_angle_gamma 120.00
_symmetry_space_group_name_H-M 'P -3 m 1'
_symmetry_Int_Tables_number 164
_symmetry_space_group_name_Hall '-P 3 2"'
loop_
_atom_site_label
_atom_site_fract_x
_atom_site_fract_y
_atom_site_fract_z
Ca1 0.0000 0.0000 0.0000
Ac1 0.0000 0.0000 0.5000
Os1 0.3333 0.6667 0.8363
O1 0.1651 0.3302 0.7503
O2 0.3333 0.6667 0.0843
# * crystal system: trigonal
# * total magnetic moment: 3.01 μB/cell
# * N(E_F): 6.5 states/eV/cell
# * formation energy (no corrections): -1608.0 meV/atom

Entry 9:
# AcIn2Pd, relaxed, DFT PBE
data_AcIn2Pd
_chemical_formula_sum 'Ac2 In4 Pd2'
_cell_length_a 4.644
_cell_length_b 7.874
_cell_length_c 6.080
_cell_angle_alpha 90.00
_cell_angle_beta 111.44
_cell_angle_gamma 90.00
_symmetry_space_group_name_H-M 'P 1 21/m 1'
_symmetry_Int_Tables_number 11
loop_
_symmetry_equiv_pos_as_xyz
'x,y,z'
'-x,-y,-z'
'-x,y+1/2,-z'
'x,-y+1/2,z'
loop_
_atom_site_label
_atom_site_fract_x
_atom_site_fract_y
_atom_site_fract_z
Ac1 0.070 0.250 0.133
In1 0.354 0.053 0.705
Pd1 0.212 0.750 0.430
# * ΔH_f (0 K): -0.6267 eV/atom
# * crystal system: monoclinic
# * relative energy among the computed polymorphs: 0 meV/atom
# * total magnetic moment: 0.00 μB/cell
# * N(E_F): 5.3 states/eV/cell

Entry 10:
# Pm2Dy3, relaxed, DFT PBE
data_Pm2Dy3
_chemical_formula_sum 'Pm4 Dy6'
_cell_length_a 11.326
_cell_length_b 5.071
_cell_length_c 8.011
_cell_angle_alpha 90.00
_cell_angle_beta 134.90
_cell_angle_gamma 90.00
_symmetry_space_group_name_H-M 'C 1 2/m 1'
_symmetry_Int_Tables_number 12
loop_
_symmetry_equiv_pos_as_xyz
'x,y,z'
'-x,-y,-z'
'-x,y,-z'
'x,-y,z'
'x+1/2,y+1/2,z'
'-x+1/2,-y+1/2,-z'
'-x+1/2,y+1/2,-z'
'x+1/2,-y+1/2,z'
loop_
_atom_site_label
_atom_site_fract_x
_atom_site_fract_y
_atom_site_fract_z
Pm1 0.201 0.000 0.300
Dy1 0.000 0.000 0.500
Dy2 0.101 0.500 0.901
# * ΔH_f (0 K): 0.0174 eV/atom
# * crystal system: monoclinic
# * total magnetic moment: 0.00 μB/cell
# * N(E_F): 14.1 states/eV/cell

Entry 11:
# AcInHg2, relaxed, DFT PBE
data_AcInHg2
_chemical_formula_sum 'Ac1 In1 Hg2'
_cell_length_a 5.108
_cell_length_b 5.108
_cell_length_c 4.493
_cell_angle_alpha 90.00
_cell_angle_beta 90.00
_cell_angle_gamma 90.00
_symmetry_space_group_name_H-M 'P 4/m m m'
_symmetry_Int_Tables_number 123
_symmetry_space_group_name_Hall '-P 4 2'
loop_
_atom_site_label
_atom_site_fract_x
_atom_site_fract_y
_atom_site_fract_z
Ac1 0.000 0.000 0.000
In1 0.500 0.500 0.000
Hg1 0.000 0.500 0.500
# * ΔH_f (0 K): -0.3541 eV/atom
# * crystal system: tetragonal
# * relative energy among the computed polymorphs: 86 meV/atom
# * total magnetic moment: 0.00 μB/cell
# * N(E_F): 2.2 states/eV/cell

Entry 12:
# BaThTe4Au, relaxed, DFT PBE
data_BaThTe4Au
_chemical_formula_sum 'Ba2 Th2 Te8 Au2'
_cell_length_a 7.872
_cell_length_b 6.494
_cell_length_c 9.706
_cell_angle_alpha 90.00
_cell_angle_beta 109.27
_cell_angle_gamma 90.00
_symmetry_space_group_name_H-M 'P 1 21/m 1'
_symmetry_Int_Tables_number 11
loop_
_symmetry_equiv_pos_as_xyz
'x,y,z'
'-x,-y,-z'
'-x,y+1/2,-z'
'x,-y+1/2,z'
loop_
_atom_site_label
_atom_site_fract_x
_atom_site_fract_y
_atom_site_fract_z
Ba1 0.232 0.250 0.060
Th1 0.279 0.250 0.564
Te1 0.027 0.509 0.715
Te2 0.430 0.750 0.606
Te3 0.440 0.750 0.113
Au1 0.272 0.750 0.310
# * crystal system: monoclinic
# * total magnetic moment: 0.00 μB/cell
# * N(E_F): 3.3 states/eV/cell
# * formation energy (no corrections): -1033.9 meV/atom

Entry 13:
# NpCuBi2, relaxed, DFT PBE
data_NpCuBi2
_chemical_formula_sum 'Np1 Cu1 Bi2'
_cell_length_a 3.364
_cell_length_b 3.364
_cell_length_c 8.940
_cell_angle_alpha 90.00
_cell_angle_beta 90.00
_cell_angle_gamma 90.00
_symmetry_space_group_name_H-M 'P 4/m m m'
_symmetry_Int_Tables_number 123
_symmetry_space_group_name_Hall '-P 4 2'
loop_
_atom_site_label
_atom_site_fract_x
_atom_site_fract_y
_atom_site_fract_z
Np1 0.000 0.000 0.000
Cu1 0.000 0.000 0.500
Bi1 0.500 0.500 0.283
# * ΔH_f (0 K): 0.2870 eV/atom
# * crystal system: tetragonal
# * total magnetic moment: 4.89 μB/cell
# * N(E_F): 7.3 states/eV/cell

Entry 14:
# Ac4SmTe6, relaxed, DFT PBE
data_Ac4SmTe6
_chemical_formula_sum 'Ac24 Sm6 Te36'
_cell_length_a 13.1291
_cell_length_b 13.1291
_cell_length_c 15.7983
_cell_angle_alpha 90.00
_cell_angle_beta 90.00
_cell_angle_gamma 120.00
_symmetry_space_group_name_H-M 'R -3 c'
_symmetry_Int_Tables_number 167
_symmetry_space_group_name_Hall '-R 3 2"c'
loop_
_atom_site_label
_atom_site_fract_x
_atom_site_fract_y
_atom_site_fract_z
Ac1 0.0000 0.0000 0.2500
Ac2 0.0000 0.3892 0.2500
Sm1 0.0000 0.0000 0.0000
Te1 0.0325 0.2064 0.3864
# * crystal system: trigonal
# * total magnetic moment: 0.00 μB/cell
# * N(E_F): 39.3 states/eV/cell
# * formation energy (no corrections): -1458.3 meV/atom

Entry 15:
# SrSmEuDy, relaxed, DFT PBE
data_SrSmEuDy
_chemical_formula_sum 'Sr4 Sm4 Eu4 Dy4'
_cell_length_a 8.500
_cell_length_b 8.500
_cell_length_c 8.500
_cell_angle_alpha 90.00
_cell_angle_beta 90.00
_cell_angle_gamma 90.00
_symmetry_space_group_name_H-M 'F -4 3 m'
_symmetry_Int_Tables_number 216
_symmetry_space_group_name_Hall 'F -4 2 3'
loop_
_atom_site_label
_atom_site_fract_x
_atom_site_fract_y
_atom_site_fract_z
Sr1 0.000 0.000 0.000
Sm1 0.250 0.250 0.250
Eu1 0.250 0.250 0.750
Dy1 0.000 0.000 0.500
# * ΔH_f (0 K): 0.2058 eV/atom
# * crystal system: cubic
# * total magnetic moment: 30.05 μB/cell
# * N(E_F): 23.2 states/eV/cell

Entry 16:
# AcSm2UO8, relaxed, DFT PBE
data_AcSm2UO8
_chemical_formula_sum 'Ac1 Sm2 U1 O8'
_cell_length_a 3.998
_cell_length_b 5.479
_cell_length_c 7.898
_cell_angle_alpha 90.00
_cell_angle_beta 90.00
_cell_angle_gamma 90.00
_symmetry_space_group_name_H-M 'P m m m'
_symmetry_Int_Tables_number 47
loop_
_symmetry_equiv_pos_as_xyz
'x,y,z'
'-x,-y,-z'
'-x,-y,z'
'x,y,-z'
'x,-y,-z'
'-x,y,z'
'-x,y,-z'
'x,-y,z'
loop_
_atom_site_label
_atom_site_fract_x
_atom_site_fract_y
_atom_site_fract_z
Ac1 0.000 0.000 0.000
Sm1 0.500 0.500 0.268
U1 0.000 0.000 0.500
O1 0.000 0.240 0.286
O2 0.500 0.226 0.500
O3 0.500 0.279 0.000
# * crystal system: orthorhombic
# * total magnetic moment: 0.94 μB/cell
# * N(E_F): 5.2 states/eV/cell
# * formation energy (no corrections): -3210.1 meV/atom

Entry 17:
# Tm8GaC4, relaxed, DFT PBE
data_Tm8GaC4
_chemical_formula_sum 'Tm16 Ga2 C8'
_cell_length_a 17.107
_cell_length_b 3.566
_cell_length_c 11.749
_cell_angle_alpha 90.00
_cell_angle_beta 132.03
_cell_angle_gamma 90.00
_symmetry_space_group_name_H-M 'C 1 2/m 1'
_symmetry_Int_Tables_number 12
loop_
_symmetry_equiv_pos_as_xyz
'x,y,z'
'-x,-y,-z'
'-x,y,-z'
'x,-y,z'
'x+1/2,y+1/2,z'
'-x+1/2,-y+1/2,-z'
'-x+1/2,y+1/2,-z'
'x+1/2,-y+1/2,z'
loop_
_atom_site_label
_atom_site_fract_x
_atom_site_fract_y
_atom_site_fract_z
Tm1 0.042 0.000 0.232
Tm2 0.136 0.500 0.092
Tm3 0.160 0.500 0.835
Tm4 0.198 0.500 0.561
Ga1 0.000 0.000 0.500
C1 0.149 0.000 0.965
C2 0.169 0.500 0.330
# * ΔH_f (0 K): -0.3218 eV/atom
# * crystal system: monoclinic
# * total magnetic moment: 0.03 μB/cell
# * N(E_F): 19.6 states/eV/cell

Entry 18:
# Pr2Y3HoBi6, relaxed, DFT PBE
data_Pr2Y3HoBi6
_chemical_formula_sum 'Pr4 Y6 Ho2 Bi12'
_cell_length_a 7.855
_cell_length_b 13.612
_cell_length_c 7.847
_cell_angle_alpha 90.00
_cell_angle_beta 109.52
_cell_angle_gamma 90.00
_symmetry_space_group_name_H-M 'C 1 2/m 1'
_symmetry_Int_Tables_number 12
loop_
_symmetry_equiv_pos_as_xyz
'x,y,z'
'-x,-y,-z'
'-x,y,-z'
'x,-y,z'
'x+1/2,y+1/2,z'
'-x+1/2,-y+1/2,-z'
'-x+1/2,y+1/2,-z'
'x+1/2,-y+1/2,z'
loop_
_atom_site_label
_atom_site_fract_x
_atom_site_fract_y
_atom_site_fract_z
Pr1 0.000 0.165 0.000
Y1 0.000 0.000 0.500
Y2 0.000 0.330 0.500
Ho1 0.000 0.500 0.000
Bi1 0.240 0.500 0.742
Bi2 0.248 0.337 0.255
# * ΔH_f (0 K): -0.9025 eV/atom
# * crystal system: monoclinic
# * total magnetic moment: 0.00 μB/cell
# * N(E_F): 4.6 states/eV/cell

Entry 19:
# Pm2MnSn, relaxed, DFT PBE
data_Pm2MnSn
_chemical_formula_sum 'Pm2 Mn1 Sn1'
_cell_length_a 3.775
_cell_length_b 3.775
_cell_length_c 7.485
_cell_angle_alpha 90.00
_cell_angle_beta 90.00
_cell_angle_gamma 90.00
_symmetry_space_group_name_H-M 'P 4/m m m'
_symmetry_Int_Tables_number 123
_symmetry_space_group_name_Hall '-P 4 2'
loop_
_atom_site_label
_atom_site_fract_x
_atom_site_fract_y
_atom_site_fract_z
Pm1 0.000 0.000 0.237
Mn1 0.500 0.500 0.000
Sn1 0.500 0.500 0.500
# * ΔH_f (0 K): -0.1799 eV/atom
# * crystal system: tetragonal
# * total magnetic moment: 3.28 μB/cell
# * N(E_F): 3.5 states/eV/cell